! PmTcSb2 (GGA-PBE, optimized geometry); values from VASP
! - Uncorrected energy: -5.885 eV/atom
! - SG: No. 123
! - Formation energy without anion corrections: -45 meV/atom
! - Energy above the lowest structure with this stoichiometry: 241.2 meV per atom
&SYSTEM
  ibrav = 0, nat = 4, ntyp = 3
/
ATOMIC_SPECIES
Sb 121.76 Sb.upf
Tc 98.00 Tc.upf
Pm 145.00 Pm.upf
ATOMIC_POSITIONS crystal
Sb 0.000 0.000 0.500
Sb 0.000 0.500 0.000
Tc 0.500 0.500 0.500
Pm 0.500 0.000 0.000
CELL_PARAMETERS angstrom
3.714 0.000 0.000
0.000 4.981 0.000
0.000 0.000 4.981



! Pm4TcSb (GGA-PBE, optimized geometry); values from VASP
! - Uncorrected energy: -5.984 eV/atom
! - SG: No. 15
! - Formation energy without anion corrections: -402 meV/atom
&SYSTEM
  ibrav = 0, nat = 12, ntyp = 3
/
ATOMIC_SPECIES
Pm 145.00 Pm.upf
Tc 98.00 Tc.upf
Sb 121.76 Sb.upf
ATOMIC_POSITIONS crystal
Pm 0.858 0.647 0.789
Pm 0.061 0.939 0.281
Pm 0.642 0.211 0.353
Pm 0.439 0.719 0.061
Pm 0.561 0.281 0.939
Pm 0.358 0.789 0.647
Pm 0.939 0.061 0.719
Pm 0.142 0.353 0.211
Tc 0.250 0.001 0.999
Tc 0.750 0.999 0.001
Sb 0.750 0.626 0.374
Sb 0.250 0.374 0.626
CELL_PARAMETERS angstrom
6.201 0.037 -1.353
-2.419 7.249 -2.915
0.046 -0.428 8.168



! PmTcSb2 (GGA-PBE, optimized geometry); values from VASP
! - Uncorrected energy: -5.439 eV/atom
! - SG: No. 166
! - Formation energy without anion corrections: 401 meV/atom
! - Energy above the lowest structure with this stoichiometry: 686.6 meV per atom
&SYSTEM
  ibrav = 0, nat = 4, ntyp = 3
/
ATOMIC_SPECIES
Sb 121.76 Sb.upf
Tc 98.00 Tc.upf
Pm 145.00 Pm.upf
ATOMIC_POSITIONS crystal
Sb 0.082 0.082 0.753
Sb 0.918 0.918 0.247
Tc 0.000 0.000 0.000
Pm 0.500 0.500 0.500
CELL_PARAMETERS angstrom
-2.476 -0.247 -2.118
0.391 -1.665 -2.784
-3.983 -9.579 3.252



! Pm2TcSb (GGA-PBE, optimized geometry); values from VASP
! - Uncorrected energy: -6.256 eV/atom
! - SG: No. 123
! - Formation energy without anion corrections: -259 meV/atom
! - Energy above the lowest structure with this stoichiometry: 0.0 meV per atom
&SYSTEM
  ibrav = 0, nat = 4, ntyp = 3
/
ATOMIC_SPECIES
Sb 121.76 Sb.upf
Tc 98.00 Tc.upf
Pm 145.00 Pm.upf
ATOMIC_POSITIONS crystal
Sb 0.500 0.500 0.500
Tc 0.500 0.000 0.000
Pm 0.000 0.000 0.500
Pm 0.000 0.500 0.000
CELL_PARAMETERS angstrom
4.034 0.000 0.000
0.000 4.948 0.000
0.000 0.000 4.948



! Pm4Sb2Te5 (GGA-PBE, optimized geometry); values from VASP
! - Uncorrected energy: -4.646 eV/atom
! - SG: No. 71
! - Formation energy without anion corrections: -741 meV/atom
&SYSTEM
  ibrav = 0, nat = 11, ntyp = 3
/
ATOMIC_SPECIES
Pm 145.00 Pm.upf
Sb 121.76 Sb.upf
Te 127.60 Te.upf
ATOMIC_POSITIONS crystal
Pm 0.000 0.179 0.000
Pm 0.694 0.694 0.388
Pm 0.000 0.821 0.000
Pm 0.306 0.306 0.612
Sb 0.151 0.151 0.302
Sb 0.849 0.849 0.698
Te 0.855 0.167 0.710
Te 0.855 0.543 0.710
Te 0.145 0.457 0.290
Te 0.145 0.833 0.290
Te 0.500 0.000 0.000
CELL_PARAMETERS angstrom
4.814 0.000 0.000
0.000 9.998 0.000
-2.407 -4.999 9.675



! Pm6Sb3Te2 (GGA-PBE, optimized geometry); values from VASP
! - Uncorrected energy: -5.416 eV/atom
! - SG: No. 166
! - Formation energy without anion corrections: -1129 meV/atom
&SYSTEM
  ibrav = 0, nat = 11, ntyp = 3
/
ATOMIC_SPECIES
Pm 145.00 Pm.upf
Sb 121.76 Sb.upf
Te 127.60 Te.upf
ATOMIC_POSITIONS crystal
Pm 0.085 0.085 0.744
Pm 0.915 0.915 0.256
Pm 0.189 0.189 0.434
Pm 0.811 0.811 0.566
Pm 0.362 0.362 0.914
Pm 0.638 0.638 0.086
Sb 0.000 0.000 0.000
Sb 0.276 0.276 0.173
Sb 0.724 0.724 0.827
Te 0.449 0.449 0.654
Te 0.551 0.551 0.346
CELL_PARAMETERS angstrom
4.374 0.000 0.434
2.165 3.800 0.434
0.045 0.026 21.827